Ac3LaCu after structural relaxation. Source: Alexandria via LeMat-Bulk, functional PBE-GGA.

The structure belongs to space group Pm-3m (No. 221); the cell edges are 5.910, 5.910 and 5.910 Å and the angles 90.00°, 90.00° and 90.00°. Symmetry generates all atoms from Ac at (0.000, 0.000, 0.500), La at (0.500, 0.500, 0.500) and Cu at (0.000, 0.000, 0.000).

As for the formation energy: 0.1232 eV per atom. The calculation puts the total energy at -4.147 eV per atom. The calculation puts the magnetic moment at 0.00 μB/atom.